1.
# Ho4MgRh

Ho4MgRh at its PBEsol-relaxed geometry (meta-GGA SCAN, Alexandria via LeMat-Bulk).

Cell: 9.5020 9.5020 9.5020 Å, 60.00 60.00 60.00°
With the nearest neighbours (Å) after each atom.
Fractional coordinates of all 24 atoms:
Ho 0.1869 0.8131 0.8131  2 Rh 2.76
Ho 0.4355 0.0645 0.4355  2 Mg 3.24, 2 Rh 3.45, 10 Ho 3.46-3.57
Ho 0.0645 0.4355 0.0645  2 Mg 3.24, 2 Rh 3.45, 10 Ho 3.46-3.57
Ho 0.6533 0.6533 0.6533  3 Rh 2.76
Ho 0.0645 0.4355 0.4355  2 Mg 3.24, 2 Rh 3.45, 10 Ho 3.46-3.57
Ho 0.0645 0.0645 0.4355  2 Mg 3.24, 2 Rh 3.45, 10 Ho 3.46-3.57
Ho 0.8131 0.1869 0.1869  2 Rh 2.76
Ho 0.4355 0.0645 0.0645  2 Mg 3.24, 2 Rh 3.45, 10 Ho 3.46-3.57
Ho 0.8131 0.8131 0.1869  2 Rh 2.76
Ho 0.4355 0.4355 0.0645  2 Mg 3.24, 2 Rh 3.45, 10 Ho 3.46-3.57
Ho 0.1869 0.1869 0.8131  2 Rh 2.76
Ho 0.6533 0.0402 0.6533  3 Rh 2.76
Ho 0.8131 0.1869 0.8131  2 Rh 2.76
Ho 0.1869 0.8131 0.1869  2 Rh 2.76
Ho 0.0402 0.6533 0.6533  3 Rh 2.76
Ho 0.6533 0.6533 0.0402  3 Rh 2.76
Mg 0.7398 0.4201 0.4201  3 Mg 3.04, 3 Ho 3.24
Mg 0.4201 0.4201 0.7398  3 Mg 3.04, 3 Ho 3.24
Mg 0.4201 0.7398 0.4201  3 Mg 3.04, 3 Ho 3.24
Mg 0.4201 0.4201 0.4201  3 Mg 3.04, 3 Ho 3.24
Rh 0.8581 0.8581 0.4258  6 Ho 2.76
Rh 0.8581 0.4258 0.8581  6 Ho 2.76
Rh 0.4258 0.8581 0.8581  6 Ho 2.76
Rh 0.8581 0.8581 0.8581  6 Ho 2.76

ΔH_f (0 K) ... -0.471 eV/atom
SG ... F-43m, No. 216

2.
# Ho2MgRu

Ho2MgRu at its PBEsol-relaxed geometry (meta-GGA SCAN, Alexandria via LeMat-Bulk).

Cell: 4.9187 4.9187 4.9187 Å, 60.00 60.00 60.00°
With the nearest neighbours (Å) after each atom.
Fractional coordinates of all 4 atoms:
Mg 0.5000 0.5000 0.5000  8 Ho 3.01
Ho 0.7500 0.7500 0.7500  4 Ru 3.01, 4 Mg 3.01
Ho 0.2500 0.2500 0.2500  4 Mg 3.01, 4 Ru 3.01
Ru 0.0000 0.0000 0.0000  8 Ho 3.01

ΔH_f (0 K) ... -0.286 eV/atom
SG ... Fm-3m, No. 225

3.
# Ho4MgRu

Ho4MgRu at its PBEsol-relaxed geometry (meta-GGA SCAN, Alexandria via LeMat-Bulk).

Cell: 9.4987 9.4987 9.4987 Å, 60.00 60.00 60.00°
With the nearest neighbours (Å) after each atom.
Fractional coordinates of all 24 atoms:
Ru 0.4172 0.8609 0.8609  6 Ho 2.72-2.77
Ru 0.8609 0.8609 0.4172  6 Ho 2.72-2.77
Ru 0.8609 0.4172 0.8609  6 Ho 2.72-2.77
Ru 0.8609 0.8609 0.8609  6 Ho 2.72-2.77
Ho 0.0612 0.4388 0.0612  2 Mg 3.25, 2 Ru 3.42, 10 Ho 3.42-3.59
Ho 0.8130 0.1870 0.8130  2 Ru 2.72
Ho 0.4388 0.0612 0.0612  2 Mg 3.25, 2 Ru 3.42, 10 Ho 3.42-3.59
Ho 0.1870 0.8130 0.1870  2 Ru 2.72
Ho 0.6563 0.6563 0.6563  3 Ru 2.77
Ho 0.1870 0.1870 0.8130  2 Ru 2.72
Ho 0.1870 0.8130 0.8130  2 Ru 2.72
Ho 0.8130 0.1870 0.1870  2 Ru 2.72
Ho 0.0612 0.0612 0.4388  2 Mg 3.25, 2 Ru 3.42, 10 Ho 3.42-3.59
Ho 0.0311 0.6563 0.6563  3 Ru 2.77
Ho 0.4388 0.4388 0.0612  2 Mg 3.25, 2 Ru 3.42, 10 Ho 3.42-3.59
Ho 0.6563 0.6563 0.0311  3 Ru 2.77
Ho 0.8130 0.8130 0.1870  2 Ru 2.72
Ho 0.6563 0.0311 0.6563  3 Ru 2.77
Ho 0.4388 0.0612 0.4388  2 Mg 3.25, 2 Ru 3.42, 10 Ho 3.42-3.59
Ho 0.0612 0.4388 0.4388  2 Mg 3.25, 2 Ru 3.42, 10 Ho 3.42-3.59
Mg 0.4204 0.4204 0.4204  3 Mg 3.02, 3 Ho 3.25
Mg 0.7387 0.4204 0.4204  3 Mg 3.02, 3 Ho 3.25
Mg 0.4204 0.7387 0.4204  3 Mg 3.02, 3 Ho 3.25
Mg 0.4204 0.4204 0.7387  3 Mg 3.02, 3 Ho 3.25

ΔH_f (0 K) ... -0.302 eV/atom
SG ... F-43m, No. 216

4.
# Ho4MgS7

Ho4MgS7 at its PBEsol-relaxed geometry (meta-GGA SCAN, Alexandria via LeMat-Bulk).

Cell: 3.7413 6.4705 11.2768 Å, 104.61 90.00 106.80°
With the nearest neighbours (Å) after each atom.
Fractional coordinates of all 12 atoms:
S 0.7353 0.4706 0.3503  2 Mg 2.63, 3 Ho 2.69-2.81
S 0.9621 0.9241 0.2257  1 Mg 2.54, 3 Ho 2.62-2.69
S 0.6577 0.3154 0.0475  5 Ho 2.69-2.99
S 0.0352 0.0704 0.7869  4 Ho 2.64-2.65
S 0.2621 0.5243 0.6416  1 Mg 2.63, 4 Ho 2.71-2.84
S 0.5194 0.0388 0.5151  2 Mg 2.60, 2 Ho 2.64
S 0.3350 0.6701 0.9462  5 Ho 2.68-2.97
Mg 0.1184 0.2368 0.4230  6 S 2.54-2.63
Ho 0.9955 0.9910 0.0056  6 S 2.62-2.69
Ho 0.6879 0.3758 0.7927  6 S 2.65-2.86
Ho 0.8896 0.7793 0.5683  6 S 2.64-2.71
Ho 0.3017 0.6035 0.1971  7 S 2.69-2.97

SG ... Cm, No. 8
E ... -24.583 eV/atom